[1]
PmSm7Dy12 | GGA-PBE | relaxed

a = 8.7351 Å, b = 8.7351 Å, c = 8.7351 Å
α = 95.00°, β = 95.00°, γ = 95.00°
Closest atoms and distances in Å follow each position.
Element x y z (fractional)
1 Sm 0.0189 0.0851 0.3546  2 Dy 3.08-3.40, 1 Sm 3.08, 1 Pm 3.11
2 Dy 0.3178 0.1863 0.7490  3 Dy 3.35-3.56, 3 Sm 3.40-3.61
3 Sm 0.9811 0.9149 0.6454  2 Dy 3.08-3.40, 1 Sm 3.08, 1 Pm 3.11
4 Dy 0.5844 0.5192 0.8529  2 Sm 3.08-3.09, 2 Dy 3.10-3.35
5 Sm 0.9149 0.6454 0.9811  2 Dy 3.08-3.40, 1 Sm 3.08, 1 Pm 3.11
6 Dy 0.2510 0.6822 0.8137  3 Dy 3.35-3.56, 3 Sm 3.40-3.61
7 Pm 0.0000 0.0000 0.0000  6 Sm 3.11
8 Sm 0.5000 0.5000 0.5000  6 Dy 3.09
9 Dy 0.1863 0.7490 0.3178  3 Dy 3.35-3.56, 3 Sm 3.40-3.61
10 Sm 0.3546 0.0189 0.0851  2 Dy 3.08-3.40, 1 Sm 3.08, 1 Pm 3.11
11 Dy 0.4156 0.4808 0.1471  2 Sm 3.08-3.09, 2 Dy 3.10-3.35
12 Sm 0.0851 0.3546 0.0189  2 Dy 3.08-3.40, 1 Sm 3.08, 1 Pm 3.11
13 Dy 0.1471 0.4156 0.4808  2 Sm 3.08-3.09, 2 Dy 3.10-3.35
14 Dy 0.8529 0.5844 0.5192  2 Sm 3.08-3.09, 2 Dy 3.10-3.35
15 Dy 0.6822 0.8137 0.2510  3 Dy 3.35-3.56, 3 Sm 3.40-3.61
16 Dy 0.7490 0.3178 0.1863  3 Dy 3.35-3.56, 3 Sm 3.40-3.61
17 Sm 0.6454 0.9811 0.9149  2 Dy 3.08-3.40, 1 Sm 3.08, 1 Pm 3.11
18 Dy 0.4808 0.1471 0.4156  2 Sm 3.08-3.09, 2 Dy 3.10-3.35
19 Dy 0.8137 0.2510 0.6822  3 Dy 3.35-3.56, 3 Sm 3.40-3.61
20 Dy 0.5192 0.8529 0.5844  2 Sm 3.08-3.09, 2 Dy 3.10-3.35

Summary:
Energy relative to the elements (eV per atom): 0.28
Energy above the most stable polymorph in this dataset (eV per atom): 0.000
Density of states at the Fermi level (states/eV/f.u.): 18.12
M_tot (μB/cell): 0.00

[2]
Pm5Sm4Dy2 | GGA-PBE | relaxed

a = 3.5699 Å, b = 11.7302 Å, c = 9.0889 Å
α = 93.96°, β = 101.33°, γ = 90.00°
Closest atoms and distances in Å follow each position.
Element x y z (fractional)
1 Pm 0.9035 0.4627 0.8071  4 Sm 3.34-3.56, 3 Pm 3.49-3.57, 3 Dy 3.49-3.59
2 Sm 0.6410 0.7962 0.2819  6 Pm 3.49-3.71, 4 Sm 3.57-3.66, 2 Dy 3.68
3 Dy 0.2843 0.6443 0.5685  5 Pm 3.49-3.80, 2 Dy 3.57, 4 Sm 3.68-3.75
4 Sm 0.3590 0.2038 0.7181  6 Pm 3.49-3.71, 4 Sm 3.57-3.66, 2 Dy 3.68
5 Sm 0.9630 0.7387 0.9259  5 Pm 3.34-3.57, 4 Sm 3.57-3.66
6 Pm 0.8225 0.9280 0.6449  4 Sm 3.46-3.71, 6 Pm 3.57-3.68, 2 Dy 3.80
7 Pm 0.0965 0.5373 0.1929  4 Sm 3.34-3.56, 3 Pm 3.49-3.57, 3 Dy 3.49-3.59
8 Sm 0.0370 0.2613 0.0741  5 Pm 3.34-3.57, 4 Sm 3.57-3.66
9 Pm 0.5000 0.0000 0.0000  6 Sm 3.57-3.59, 6 Pm 3.57-3.68
10 Dy 0.7157 0.3557 0.4315  5 Pm 3.49-3.80, 2 Dy 3.57, 4 Sm 3.68-3.75
11 Pm 0.1775 0.0720 0.3551  4 Sm 3.46-3.71, 6 Pm 3.57-3.68, 2 Dy 3.80

Summary:
Energy relative to the elements (eV per atom): 0.07
Energy above the most stable polymorph in this dataset (eV per atom): 0.000
Density of states at the Fermi level (states/eV/f.u.): 16.34
M_tot (μB/cell): 0.00

[3]
PmSm6Dy12 | GGA-PBE | relaxed

a = 8.8572 Å, b = 8.8572 Å, c = 8.8572 Å
α = 99.44°, β = 99.44°, γ = 99.44°
Closest atoms and distances in Å follow each position.
Element x y z (fractional)
1 Dy 0.8831 0.1169 0.5000  4 Sm 2.96-3.21, 1 Dy 3.16
2 Dy 0.8831 0.5000 0.1169  4 Sm 2.96-3.21, 1 Dy 3.16
3 Dy 0.1805 0.4659 0.4659  7 Dy 3.48-3.86, 3 Sm 3.60-3.62
4 Sm 0.2556 0.7903 0.7903  4 Dy 2.96-3.21
5 Dy 0.4659 0.4659 0.1805  7 Dy 3.48-3.86, 3 Sm 3.60-3.62
6 Dy 0.5341 0.8195 0.5341  7 Dy 3.48-3.86, 3 Sm 3.60-3.62
7 Dy 0.5000 0.1169 0.8831  4 Sm 2.96-3.21, 1 Dy 3.16
8 Dy 0.5000 0.8831 0.1169  4 Sm 2.96-3.21, 1 Dy 3.16
9 Dy 0.4659 0.1805 0.4659  7 Dy 3.48-3.86, 3 Sm 3.60-3.62
10 Dy 0.1169 0.8831 0.5000  4 Sm 2.96-3.21, 1 Dy 3.16
11 Dy 0.1169 0.5000 0.8831  4 Sm 2.96-3.21, 1 Dy 3.16
12 Pm 0.0000 0.0000 0.0000  6 Sm 3.70
13 Sm 0.2097 0.2097 0.7444  4 Dy 2.96-3.21
14 Sm 0.7903 0.7903 0.2556  4 Dy 2.96-3.21
15 Dy 0.5341 0.5341 0.8195  7 Dy 3.48-3.86, 3 Sm 3.60-3.62
16 Sm 0.2097 0.7444 0.2097  4 Dy 2.96-3.21
17 Dy 0.8195 0.5341 0.5341  7 Dy 3.48-3.86, 3 Sm 3.60-3.62
18 Sm 0.7903 0.2556 0.7903  4 Dy 2.96-3.21
19 Sm 0.7444 0.2097 0.2097  4 Dy 2.96-3.21

Summary:
Energy relative to the elements (eV per atom): 0.45
Energy above the most stable polymorph in this dataset (eV per atom): 0.237
Density of states at the Fermi level (states/eV/f.u.): 26.61
M_tot (μB/cell): 0.00

[4]
Pm5Sm4Dy2 | GGA-PBE | relaxed

a = 3.5595 Å, b = 11.5609 Å, c = 11.0682 Å
α = 121.48°, β = 99.25°, γ = 90.00°
Closest atoms and distances in Å follow each position.
Element x y z (fractional)
1 Pm 0.1790 0.4709 0.3581  4 Pm 3.32-3.56, 3 Sm 3.33-3.43, 3 Dy 3.40-3.70
2 Dy 0.7967 0.7967 0.5933  6 Pm 3.40-3.70, 2 Dy 3.56
3 Sm 0.4110 0.4110 0.8219  7 Sm 3.30-3.65, 4 Pm 3.43
4 Pm 0.8210 0.1128 0.6419  4 Pm 3.32-3.56, 3 Sm 3.33-3.43, 3 Dy 3.40-3.70
5 Pm 0.1790 0.8872 0.3581  4 Pm 3.32-3.56, 3 Sm 3.33-3.43, 3 Dy 3.40-3.70
6 Dy 0.2033 0.2033 0.4067  6 Pm 3.40-3.70, 2 Dy 3.56
7 Pm 0.8210 0.5291 0.6419  4 Pm 3.32-3.56, 3 Sm 3.33-3.43, 3 Dy 3.40-3.70
8 Sm 0.5890 0.5890 0.1781  7 Sm 3.30-3.65, 4 Pm 3.43
9 Pm 0.5000 0.0000 0.0000  4 Sm 3.53, 2 Pm 3.56
10 Sm 0.0000 0.7360 0.0000  4 Pm 3.33-3.53, 6 Sm 3.56-3.65
11 Sm 0.0000 0.2640 0.0000  4 Pm 3.33-3.53, 6 Sm 3.56-3.65

Summary:
Energy relative to the elements (eV per atom): 0.19
Energy above the most stable polymorph in this dataset (eV per atom): 0.120
Density of states at the Fermi level (states/eV/f.u.): 13.40
M_tot (μB/cell): 0.00